No. 1
GGA-PBE NdHoCuIr, optimized geometry; symmetry = No. 38; E above lowest polymorph = 0.0000 eV/atom; D(E_F) = 0.77 states/eV/atom; formation energy from the elements = -0.522 eV per atom; uncorrected energy = -6.098 eV per atom
1.0
4.342 0.000 0.000
0.000 1.949 5.302
0.000 -1.949 5.302
Nd Ho Cu Ir
1 1 1 1
Direct
0.000 0.000 0.000
0.500 0.278 0.278
0.500 0.572 0.572
0.000 0.721 0.721



No. 2
GGA-PBE TiBeSn, optimized geometry; symmetry = No. 160; D(E_F) = 0.93 states/eV/atom; formation energy from the elements = 0.378 eV per atom; uncorrected energy = -4.830 eV per atom
1.0
1.930 1.114 9.018
-1.930 1.114 9.018
0.000 -2.228 9.018
Ti Be Sn
2 2 2
Direct
0.000 0.000 0.000
0.190 0.190 0.190
0.822 0.822 0.822
0.897 0.897 0.897
0.599 0.599 0.599
0.737 0.737 0.737



Repeat the first record exactly.
GGA-PBE NdHoCuIr, optimized geometry; symmetry = No. 38; E above lowest polymorph = 0.0000 eV/atom; D(E_F) = 0.77 states/eV/atom; formation energy from the elements = -0.522 eV per atom; uncorrected energy = -6.098 eV per atom
1.0
4.342 0.000 0.000
0.000 1.949 5.302
0.000 -1.949 5.302
Nd Ho Cu Ir
1 1 1 1
Direct
0.000 0.000 0.000
0.500 0.278 0.278
0.500 0.572 0.572
0.000 0.721 0.721



- Number 2 is which compound?
  TiBeSn